Entry 1:
VASP calculation (PBE) on a relaxed structure of Fe5C.

Properties
Density of states at the Fermi level in states/eV/atom: 0.927
VASP energy in eV/atom: -7.98
SG: P-62m, No. 189
Energy relative to the lowest polymorph listed for this composition in meV per atom: 444.7
Calculated formation energy in kJ/mol of formula units: 355.2

Lattice parameters (Å, degrees): 4.1905 4.1905 3.7984 90.00 90.00 120.00
With the nearest neighbours (Å) after each atom.
Element x y z (fractional)
Fe 0.0000 0.6848 0.0000  10 Fe 2.29-2.49, 2 C 2.31
Fe 0.3152 0.3152 0.0000  10 Fe 2.29-2.49, 2 C 2.31
Fe 0.3333 0.6667 0.5000  9 Fe 2.38-2.42, 3 C 2.42
Fe 0.6667 0.3333 0.5000  9 Fe 2.38-2.42, 3 C 2.42
Fe 0.6848 0.0000 0.0000  10 Fe 2.29-2.49, 2 C 2.31
C 0.0000 0.0000 0.5000  12 Fe 2.31-2.42

***

Entry 2:
VASP calculation (PBE) on a relaxed structure of Fe2C.

Properties
Density of states at the Fermi level in states/eV/atom: 1.026
VASP energy in eV/atom: -7.37
SG: P6_3/mmc, No. 194
Calculated formation energy in kJ/mol of formula units: 389.4

Lattice parameters (Å, degrees): 4.7132 4.7132 8.6644 90.00 90.00 120.00
With the nearest neighbours (Å) after each atom.
Element x y z (fractional)
Fe 0.0000 0.0000 0.0000  6 Fe 2.55
Fe 0.0000 0.0000 0.5000  6 Fe 2.55
Fe 0.1640 0.3281 0.2500  2 C 1.86
Fe 0.1640 0.8360 0.2500  2 C 1.86
Fe 0.3281 0.1640 0.7500  2 C 1.86
Fe 0.6719 0.8360 0.2500  2 C 1.86
Fe 0.8360 0.1640 0.7500  2 C 1.86
Fe 0.8360 0.6719 0.7500  2 C 1.86
C 0.3333 0.6667 0.1066  3 Fe 1.86
C 0.3333 0.6667 0.3934  3 Fe 1.86
C 0.6667 0.3333 0.6066  3 Fe 1.86
C 0.6667 0.3333 0.8934  3 Fe 1.86

***

Entry 3:
VASP calculation (PBE) on a relaxed structure of FeC3.

Properties
Density of states at the Fermi level in states/eV/atom: 1.082
VASP energy in eV/atom: -6.54
SG: Pm-3m, No. 221
Energy relative to the lowest polymorph listed for this composition in meV per atom: 1921.1
Calculated formation energy in kJ/mol of formula units: 961.8

Lattice parameters (Å, degrees): 3.6753 3.6753 3.6753 90.00 90.00 90.00
With the nearest neighbours (Å) after each atom.
Element x y z (fractional)
Fe 0.0000 0.0000 0.0000  6 C 1.84
C 0.0000 0.0000 0.5000  2 Fe 1.84
C 0.0000 0.5000 0.0000  2 Fe 1.84
C 0.5000 0.0000 0.0000  2 Fe 1.84